Tb5Dy12Tl2 after structural relaxation. Source: Alexandria via LeMat-Bulk, functional PBE.

Output
For the total energy, the calculation gives -4.35 eV per atom. For the total magnetization, the calculation gives 0.000 μB per atom. As for the calculated density: 8.80 g/cm³. The value obtained for the formation energy is 0.02 eV per atom. Its space-group type is C2/m (12).

Lattice parameters (Å, degrees): 9.330 8.987 8.310 91.67 90.00 121.27
Fractional positions:
Tb 0.234 0.468 0.582
Tb 0.312 0.624 0.996
Tb 0.000 0.000 0.500
Tb 0.688 0.376 0.004
Tb 0.766 0.532 0.418
Dy 0.915 0.831 0.116
Dy 0.035 0.700 0.764
Dy 0.665 0.700 0.764
Dy 0.180 0.750 0.343
Dy 0.570 0.750 0.343
Dy 0.447 0.894 0.679
Dy 0.553 0.106 0.321
Dy 0.820 0.250 0.657
Dy 0.430 0.250 0.657
Dy 0.965 0.300 0.236
Dy 0.335 0.300 0.236
Dy 0.085 0.169 0.884
Tl 0.687 0.000 0.000
Tl 0.313 0.000 0.000

Tb5DyTl6 after structural relaxation. Source: Alexandria via LeMat-Bulk, functional PBE.

Output
For the total energy, the calculation gives -3.85 eV per atom. For the total magnetization, the calculation gives 0.000 μB per atom. As for the calculated density: 10.96 g/cm³. The value obtained for the formation energy is -0.35 eV per atom. Its space-group type is C2/m (12).

Lattice parameters (Å, degrees): 5.387 9.321 9.342 60.07 73.15 54.47
Fractional positions:
Tb 0.500 0.167 0.666
Tb 0.000 0.333 0.333
Tb 0.500 0.500 0.000
Tb 0.000 0.667 0.667
Tb 0.500 0.833 0.334
Dy 0.000 0.000 0.000
Tl 0.750 0.083 0.333
Tl 0.250 0.584 0.333
Tl 0.251 0.249 0.000
Tl 0.749 0.751 0.000
Tl 0.750 0.416 0.667
Tl 0.250 0.917 0.667

Tb2Dy3Tl4 after structural relaxation. Source: Alexandria via LeMat-Bulk, functional PBE.

Output
For the total energy, the calculation gives -3.91 eV per atom. For the total magnetization, the calculation gives 0.000 μB per atom. The value obtained for the energy above the most stable polymorph in this dataset is 0 meV/atom. As for the calculated density: 10.63 g/cm³. The value obtained for the formation energy is -0.30 eV per atom. Its space-group type is P-3m1 (164).

Lattice parameters (Å, degrees): 5.282 5.280 10.502 90.04 90.00 59.98
Fractional positions:
Tb 0.333 0.333 0.776
Tb 0.667 0.667 0.224
Dy 0.333 0.333 0.425
Dy 0.000 0.000 0.000
Dy 0.667 0.667 0.575
Tl 0.667 0.667 0.897
Tl 0.000 0.000 0.346
Tl 0.000 0.000 0.654
Tl 0.333 0.333 0.103

TbDy4Tl after structural relaxation. Source: Alexandria via LeMat-Bulk, functional PBE.

Output
For the total energy, the calculation gives -4.25 eV per atom. For the total magnetization, the calculation gives 0.000 μB per atom. The value obtained for the energy above the most stable polymorph in this dataset is 89 meV/atom. As for the calculated density: 9.04 g/cm³. The value obtained for the formation energy is -0.02 eV per atom. Its space-group type is C2/c (15).

Lattice parameters (Å, degrees): 6.448 8.986 8.263 112.63 99.71 114.03
Fractional positions:
Tb 0.339 0.589 0.178
Tb 0.661 0.411 0.822
Dy 0.041 0.160 0.748
Dy 0.754 0.713 0.619
Dy 0.208 0.589 0.748
Dy 0.365 0.906 0.619
Dy 0.635 0.094 0.381
Dy 0.792 0.411 0.252
Dy 0.246 0.287 0.381
Dy 0.959 0.840 0.252
Tl 0.250 0.000 0.000
Tl 0.750 0.000 0.000

TbDyTl3 after structural relaxation. Source: Alexandria via LeMat-Bulk, functional PBE.

Output
For the total energy, the calculation gives -3.29 eV per atom. For the total magnetization, the calculation gives 0.000 μB per atom. As for the calculated density: 10.17 g/cm³. The value obtained for the formation energy is -0.03 eV per atom. Its space-group type is Cmcm (63).

Lattice parameters (Å, degrees): 6.401 7.419 7.419 119.94 90.00 90.00
Fractional positions:
Tb 0.250 0.334 0.666
Tb 0.750 0.666 0.334
Dy 0.000 0.000 0.000
Dy 0.500 0.000 0.000
Tl 0.250 0.800 0.200
Tl 0.750 0.200 0.800
Tl 0.250 0.800 0.600
Tl 0.750 0.200 0.400
Tl 0.250 0.400 0.200
Tl 0.750 0.600 0.800

Tb8Dy3Tl after structural relaxation. Source: Alexandria via LeMat-Bulk, functional PBE.

Output
For the total energy, the calculation gives -3.91 eV per atom. For the total magnetization, the calculation gives 0.000 μB per atom. As for the calculated density: 7.76 g/cm³. The value obtained for the formation energy is 0.52 eV per atom. Its space-group type is I-42m (121).

Lattice parameters (Å, degrees): 8.316 8.316 8.316 94.12 117.65 117.65
Fractional positions:
Tb 0.510 0.276 0.276
Tb 0.490 0.766 0.766
Tb 0.000 0.724 0.234
Tb 0.000 0.234 0.724
Tb 0.254 0.384 0.384
Tb 0.746 0.129 0.129
Tb 0.000 0.616 0.871
Tb 0.000 0.871 0.616
Dy 0.500 0.750 0.250
Dy 0.500 0.250 0.750
Dy 0.000 0.500 0.500
Tl 0.000 0.000 0.000

TbDy3Tl3 after structural relaxation. Source: Alexandria via LeMat-Bulk, functional PBE.

Output
For the total energy, the calculation gives -3.87 eV per atom. For the total magnetization, the calculation gives 0.000 μB per atom. The value obtained for the energy above the most stable polymorph in this dataset is 27 meV/atom. As for the calculated density: 10.42 g/cm³. The value obtained for the formation energy is -0.22 eV per atom. Its space-group type is P6_3/m (176).

Lattice parameters (Å, degrees): 5.229 9.413 9.413 120.00 90.00 90.00
Fractional positions:
Tb 0.250 0.667 0.333
Tb 0.750 0.333 0.667
Dy 0.250 0.767 0.766
Dy 0.250 0.234 0.002
Dy 0.250 0.998 0.233
Dy 0.750 0.233 0.234
Dy 0.750 0.766 0.998
Dy 0.750 0.002 0.767
Tl 0.750 0.622 0.550
Tl 0.750 0.450 0.072
Tl 0.750 0.928 0.378
Tl 0.250 0.378 0.450
Tl 0.250 0.550 0.928
Tl 0.250 0.072 0.622

Tb4Dy3Tl4 after structural relaxation. Source: Alexandria via LeMat-Bulk, functional PBE.

Output
For the total energy, the calculation gives -4.03 eV per atom. For the total magnetization, the calculation gives 0.000 μB per atom. As for the calculated density: 9.84 g/cm³. The value obtained for the formation energy is -0.23 eV per atom. Its space-group type is Immm (71).

Lattice parameters (Å, degrees): 3.675 9.468 10.696 116.27 99.89 90.00
Fractional positions:
Tb 0.338 0.152 0.675
Tb 0.662 0.477 0.325
Tb 0.662 0.848 0.325
Tb 0.338 0.523 0.675
Dy 0.097 0.097 0.193
Dy 0.903 0.903 0.807
Dy 0.000 0.500 0.000
Tl 0.270 0.770 0.539
Tl 0.730 0.230 0.461
Tl 0.500 0.780 0.000
Tl 0.500 0.220 0.000

Tb5DyTl after structural relaxation. Source: Alexandria via LeMat-Bulk, functional PBE.

Output
For the total energy, the calculation gives -4.11 eV per atom. For the total magnetization, the calculation gives 0.000 μB per atom. As for the calculated density: 8.33 g/cm³. The value obtained for the formation energy is 0.19 eV per atom. Its space-group type is P4/mmm (123).

Lattice parameters (Å, degrees): 4.699 4.699 10.480 90.00 90.00 90.00
Fractional positions:
Tb 0.500 0.500 0.000
Tb 0.500 0.000 0.242
Tb 0.000 0.500 0.242
Tb 0.500 0.000 0.758
Tb 0.000 0.500 0.758
Dy 0.000 0.000 0.500
Tl 0.000 0.000 0.000

Tb4DyTl4 after structural relaxation. Source: Alexandria via LeMat-Bulk, functional PBE.

Output
For the total energy, the calculation gives -3.79 eV per atom. For the total magnetization, the calculation gives 0.000 μB per atom. As for the calculated density: 10.21 g/cm³. The value obtained for the formation energy is -0.17 eV per atom. Its space-group type is P4_2/n (86).

Lattice parameters (Å, degrees): 5.978 9.374 9.374 90.00 90.00 90.00
Fractional positions:
Tb 0.379 0.424 0.838
Tb 0.879 0.662 0.924
Tb 0.379 0.576 0.162
Tb 0.121 0.076 0.662
Tb 0.621 0.838 0.576
Tb 0.121 0.924 0.338
Tb 0.879 0.338 0.076
Tb 0.621 0.162 0.424
Dy 0.000 0.000 0.000
Dy 0.500 0.500 0.500
Tl 0.613 0.898 0.208
Tl 0.613 0.102 0.792
Tl 0.113 0.708 0.602
Tl 0.887 0.398 0.708
Tl 0.887 0.602 0.292
Tl 0.387 0.208 0.102
Tl 0.387 0.792 0.898
Tl 0.113 0.292 0.398

TbDy3Tl3 after structural relaxation. Source: Alexandria via LeMat-Bulk, functional PBE.

Output
For the total energy, the calculation gives -3.90 eV per atom. For the total magnetization, the calculation gives 0.000 μB per atom. The value obtained for the energy above the most stable polymorph in this dataset is 0 meV/atom. As for the calculated density: 10.26 g/cm³. The value obtained for the formation energy is -0.25 eV per atom. Its space-group type is P2_13 (198).

Lattice parameters (Å, degrees): 9.342 9.342 9.342 90.00 90.00 90.00
Fractional positions:
Tb 0.073 0.573 0.927
Tb 0.927 0.073 0.573
Tb 0.427 0.427 0.427
Tb 0.573 0.927 0.073
Dy 0.823 0.323 0.177
Dy 0.926 0.926 0.926
Dy 0.823 0.677 0.323
Dy 0.177 0.823 0.323
Dy 0.177 0.177 0.177
Dy 0.323 0.823 0.677
Dy 0.074 0.426 0.574
Dy 0.323 0.177 0.823
Dy 0.677 0.323 0.823
Dy 0.677 0.677 0.677
Dy 0.574 0.074 0.426
Dy 0.426 0.574 0.074
Tl 0.749 0.624 0.000
Tl 0.876 0.000 0.249
Tl 0.000 0.749 0.624
Tl 0.124 0.500 0.251
Tl 0.251 0.124 0.500
Tl 0.249 0.876 0.000
Tl 0.000 0.249 0.876
Tl 0.376 0.500 0.751
Tl 0.500 0.251 0.124
Tl 0.624 0.000 0.749
Tl 0.751 0.376 0.500
Tl 0.500 0.751 0.376

Tb12Dy5Tl2 after structural relaxation. Source: Alexandria via LeMat-Bulk, functional PBE.

Output
For the total energy, the calculation gives -4.36 eV per atom. For the total magnetization, the calculation gives 0.000 μB per atom. As for the calculated density: 8.68 g/cm³. The value obtained for the formation energy is 0.02 eV per atom. Its space-group type is C2/m (12).

Lattice parameters (Å, degrees): 9.330 8.992 8.350 91.81 90.00 121.25
Fractional positions:
Tb 0.915 0.830 0.115
Tb 0.034 0.698 0.764
Tb 0.664 0.698 0.764
Tb 0.180 0.752 0.345
Tb 0.571 0.752 0.345
Tb 0.447 0.893 0.680
Tb 0.553 0.107 0.320
Tb 0.820 0.248 0.655
Tb 0.429 0.248 0.655
Tb 0.966 0.302 0.236
Tb 0.336 0.302 0.236
Tb 0.085 0.170 0.885
Dy 0.234 0.468 0.584
Dy 0.313 0.627 0.997
Dy 0.000 0.000 0.500
Dy 0.687 0.373 0.003
Dy 0.766 0.532 0.416
Tl 0.687 0.000 0.000
Tl 0.313 0.000 0.000